DFT (GGA-PBE) results for crystalline Zr3SnRu at its relaxed geometry.

Cell lengths 5.376, 5.376, 5.376 Å; angles 90.00, 90.00, 90.00 degrees
Positions (direct):
Zr: 0.000 0.000 0.500
Zr: 0.000 0.500 0.000
Zr: 0.500 0.000 0.000
Ru: 0.500 0.500 0.500
Sn: 0.000 0.000 0.000

Calculated values
As for the crystal system: cubic. As for the space-group type: Pm-3m.

=====

DFT (GGA-PBE) results for crystalline Zr12Sn6Ru at its relaxed geometry.

Cell lengths 7.939, 7.939, 7.939 Å; angles 99.76, 99.76, 99.76 degrees
Positions (direct):
Sn: 0.884 0.330 0.673
Sn: 0.673 0.884 0.330
Sn: 0.327 0.116 0.670
Sn: 0.116 0.670 0.327
Sn: 0.330 0.673 0.884
Sn: 0.670 0.327 0.116
Zr: 0.591 0.474 0.793
Zr: 0.793 0.591 0.474
Zr: 0.474 0.793 0.591
Zr: 0.066 0.021 0.327
Zr: 0.979 0.673 0.934
Zr: 0.934 0.979 0.673
Zr: 0.021 0.327 0.066
Zr: 0.409 0.526 0.207
Zr: 0.207 0.409 0.526
Zr: 0.673 0.934 0.979
Zr: 0.526 0.207 0.409
Zr: 0.327 0.066 0.021
Ru: 0.000 0.000 0.000

Calculated values
As for the crystal system: trigonal. As for the space-group type: R-3.

=====

DFT (GGA-PBE) results for crystalline ZrSnRu3 at its relaxed geometry.

Cell lengths 4.763, 4.763, 4.763 Å; angles 90.00, 90.00, 90.00 degrees
Positions (direct):
Zr: 0.500 0.500 0.500
Ru: 0.000 0.500 0.000
Ru: 0.000 0.000 0.500
Ru: 0.500 0.000 0.000
Sn: 0.000 0.000 0.000

Calculated values
As for the crystal system: cubic. As for the space-group type: Pm-3m.

=====

no.,formation enthalpy at 0 K (kJ per mole of atoms)
1,137.21
2,-8.52
3,117.81